(1)
Pu3Ag3PdSe8: relaxed, PBE.

The energy relative to the elements, uncorrected is -0.744 eV per atom. The volume comes out at 377.0 Å³/f.u. The energy comes out at -287.32 eV/cell. The crystal system is trigonal. The calculated density is 7.90 g/cm3.

The structure belongs to space group R-3m (No. 166, hexagonal axes); the cell edges are 8.2122, 8.2122 and 19.3662 Å and the angles 90.00°, 90.00° and 120.00°. Symmetry generates all atoms from Pu at (0.0000, 0.5000, 0.0000), Ag at (0.0000, 0.5000, 0.5000), Pd at (0.0000, 0.0000, 0.0000), Se at (0.0000, 0.0000, 0.2519) and Se at (0.0275, 0.5137, 0.7439).

=====

(2)
PuThAgPd: relaxed, PBE.

The volume comes out at 96.6 Å³/f.u. The value obtained for the energy of formation is -0.2185 eV per atom. The energy comes out at -122.68 eV/cell. The crystal system is cubic. The calculated density is 11.86 g/cm3.

The structure belongs to space group F-43m (No. 216); the cell edges are 7.284, 7.284 and 7.284 Å and the angles 90.00°, 90.00° and 90.00°. Symmetry generates all atoms from Pu at (0.000, 0.000, 0.000), Th at (0.000, 0.000, 0.500), Ag at (0.250, 0.250, 0.250) and Pd at (0.250, 0.250, 0.750).

=====

(3)
PuTlAgPd: relaxed, PBE.

The volume comes out at 88.0 Å³/f.u. The value obtained for the energy of formation is -0.0952 eV per atom. The energy comes out at -100.49 eV/cell. The crystal system is cubic. The calculated density is 12.50 g/cm3.

The structure belongs to space group F-43m (No. 216); the cell edges are 7.061, 7.061 and 7.061 Å and the angles 90.00°, 90.00° and 90.00°. Symmetry generates all atoms from Pu at (0.000, 0.000, 0.000), Tl at (0.000, 0.000, 0.500), Ag at (0.250, 0.250, 0.750) and Pd at (0.250, 0.250, 0.250).

=====

(4)
PuZn2AgPd2: relaxed, PBE.

The volume comes out at 111.0 Å³/f.u. The value obtained for the energy of formation is -0.3137 eV per atom. The energy comes out at -32.00 eV/cell. The crystal system is trigonal. The calculated density is 10.41 g/cm3.

The structure belongs to space group P-3m1 (No. 164); the cell edges are 4.4212, 4.4212 and 6.5556 Å and the angles 90.00°, 90.00° and 120.00°. Symmetry generates all atoms from Pu at (0.0000, 0.0000, 0.0000), Zn at (0.3333, 0.6667, 0.6782), Ag at (0.0000, 0.0000, 0.5000) and Pd at (0.3333, 0.6667, 0.2662).

=====

(5)
Rb12Ag5Pd3: relaxed, PBE.

The volume comes out at 1088.4 Å³/f.u. The value obtained for the energy of formation is 0.2010 eV per atom. The energy comes out at -299.41 eV/cell. The crystal system is cubic. The calculated density is 2.87 g/cm3.

The structure belongs to space group Ia-3d (No. 230); the cell edges are 20.573, 20.573 and 20.573 Å and the angles 90.00°, 90.00° and 90.00°. Symmetry generates all atoms from Rb at (0.019, 0.080, 0.654), Ag at (0.000, 0.000, 0.000), Ag at (0.000, 0.250, 0.375) and Pd at (0.000, 0.250, 0.125).

=====

(6)
Rb2AgPd2: relaxed, PBE.

The volume comes out at 138.0 Å³/f.u. The value obtained for the energy of formation is 0.1373 eV per atom. The energy comes out at -28.97 eV/cell. The crystal system is tetragonal. The calculated density is 5.92 g/cm3.

The structure belongs to space group P4/mbm (No. 127); the cell edges are 7.127, 7.127 and 5.432 Å and the angles 90.00°, 90.00° and 90.00°. Symmetry generates all atoms from Rb at (0.179, 0.321, 0.000), Ag at (0.000, 0.000, 0.500) and Pd at (0.133, 0.633, 0.500).

=====

(7)
RbAgPd: relaxed, PBE.

The volume comes out at 84.9 Å³/f.u. The value obtained for the energy of formation is 0.0959 eV per atom. The energy comes out at -8.72 eV/cell. Its energy above the most stable polymorph in this dataset is 96 meV/atom. The crystal system is orthorhombic. The calculated density is 5.86 g/cm3.

The structure belongs to space group Pmmm (No. 47); the cell edges are 3.243, 4.461 and 5.870 Å and the angles 90.00°, 90.00° and 90.00°. Symmetry generates all atoms from Rb at (0.000, 0.000, 0.000), Ag at (0.000, 0.500, 0.500) and Pd at (0.500, 0.000, 0.500).

=====

(8)
RbAgPd: relaxed, PBE.

The volume comes out at 108.1 Å³/f.u. The value obtained for the energy of formation is 0.2580 eV per atom. The energy comes out at -32.95 eV/cell. Its energy above the most stable polymorph in this dataset is 258 meV/atom. The crystal system is orthorhombic. The calculated density is 4.60 g/cm3.

The structure belongs to space group Cmcm (No. 63); the cell edges are 5.248, 15.305 and 5.386 Å and the angles 90.00°, 90.00° and 90.00°. Symmetry generates all atoms from Rb at (0.000, 0.111, 0.250), Ag at (0.000, 0.348, 0.250) and Pd at (0.000, 0.500, 0.000).

=====

Please write out number 4 again, unchanged.
PuZn2AgPd2: relaxed, PBE.

The volume comes out at 111.0 Å³/f.u. The value obtained for the energy of formation is -0.3137 eV per atom. The energy comes out at -32.00 eV/cell. The crystal system is trigonal. The calculated density is 10.41 g/cm3.

The structure belongs to space group P-3m1 (No. 164); the cell edges are 4.4212, 4.4212 and 6.5556 Å and the angles 90.00°, 90.00° and 120.00°. Symmetry generates all atoms from Pu at (0.0000, 0.0000, 0.0000), Zn at (0.3333, 0.6667, 0.6782), Ag at (0.0000, 0.0000, 0.5000) and Pd at (0.3333, 0.6667, 0.2662).

=====

> The highest energy belongs to which entry?

number 7

=====

> Among the records above, which one has the highest energy?

number 7

=====

> energy of number 5 (Rb12Ag5Pd3)?

-299.41 eV/cell